(1)
VASP calculation (PBE) on ThPaI after structural relaxation.

Cell and atoms, written as POSCAR:
```
ThPaI
1.0
11.9695 0.0000 0.0000
0.0000 3.5266 0.0000
-0.8686 0.0000 8.4559
Th Pa I
4 4 4
Direct
0.2168 0.0000 0.1682
0.2832 0.5000 0.8318
0.7168 0.5000 0.1682
0.7832 0.0000 0.8318
0.1216 0.5000 0.4784
0.3784 0.0000 0.5216
0.6216 0.0000 0.4784
0.8784 0.5000 0.5216
0.0464 0.0000 0.7877
0.4536 0.5000 0.2123
0.5464 0.5000 0.7877
0.9536 0.0000 0.2123
```

Calculated values
E_form (uncorrected) ... 48 meV/atom
Total energy ... -73.28 eV/cell

---

(2)
VASP calculation (PBE) on GdPbAu after structural relaxation.

Cell and atoms, written as POSCAR:
```
GdPbAu
1.0
4.9173 0.0000 0.0000
-2.4586 4.2585 0.0000
0.0000 0.0000 3.5736
Gd Pb Au
1 1 1
Direct
0.0000 0.0000 0.0000
0.6667 0.3333 0.4982
0.3333 0.6667 0.5029
```

Calculated values
Total energy ... -22.71 eV/cell
Formation enthalpy at 0 K ... -1.64 eV per formula unit

---

(3)
VASP calculation (PBE) on U2GeAs after structural relaxation.

Cell and atoms, written as POSCAR:
```
U2GeAs
1.0
3.9771 0.0000 0.0000
-1.9886 3.4443 0.0000
0.0000 0.0000 21.6404
U Ge As
6 3 3
Direct
0.0000 0.0000 0.0000
0.0000 0.0000 0.1682
0.3333 0.6667 0.6667
0.3333 0.6667 0.8349
0.6667 0.3333 0.3333
0.6667 0.3333 0.5016
0.0000 0.0000 0.7518
0.3333 0.6667 0.4184
0.6667 0.3333 0.0851
0.0000 0.0000 0.5823
0.3333 0.6667 0.2490
0.6667 0.3333 0.9156
```

Calculated values
Total energy ... -98.23 eV/cell
ΔE to the lowest computed polymorph ... 0.137 eV per atom
Formation enthalpy at 0 K ... -0.90 eV per formula unit

---

(4)
VASP calculation (PBE) on PaZnAs2 after structural relaxation.

Cell and atoms, written as POSCAR:
```
PaZnAs2
1.0
4.5215 0.0000 0.0000
0.0000 4.5215 0.0000
0.0000 0.0000 3.7974
Pa Zn As
1 1 2
Direct
0.0000 0.0000 0.0000
0.5000 0.5000 0.0000
0.0000 0.5000 0.5000
0.5000 0.0000 0.5000
```

Calculated values
Total energy ... -22.70 eV/cell
ΔE to the lowest computed polymorph ... 0.000 eV per atom
Formation enthalpy at 0 K ... -2.63 eV per formula unit

---

(5)
VASP calculation (PBE) on Hg2MoCl after structural relaxation.

Cell and atoms, written as POSCAR:
```
Hg2MoCl
1.0
5.2156 0.0000 0.0000
0.0000 5.2156 0.0000
0.0000 0.0000 3.1372
Hg Mo Cl
2 1 1
Direct
0.0000 0.5000 0.0000
0.5000 0.0000 0.0000
0.0000 0.0000 0.5000
0.5000 0.5000 0.5000
```

Calculated values
E_form (uncorrected) ... 560 meV/atom
Total energy ... -11.04 eV/cell
ΔE to the lowest computed polymorph ... 0.391 eV per atom

---

(6)
VASP calculation (PBE) on RbTaCl2 after structural relaxation.

Cell and atoms, written as POSCAR:
```
RbTaCl2
1.0
5.9808 0.0000 0.0000
0.0000 5.9808 0.0000
0.0000 0.0000 15.2167
Rb Ta Cl
4 4 8
Direct
0.0000 0.0000 0.0000
0.0000 0.5000 0.2500
0.5000 0.0000 0.7500
0.5000 0.5000 0.5000
0.0000 0.0000 0.5000
0.0000 0.5000 0.7500
0.5000 0.0000 0.2500
0.5000 0.5000 0.0000
0.1263 0.2500 0.6250
0.2500 0.6263 0.8750
0.2500 0.8737 0.3750
0.3737 0.2500 0.1250
0.6263 0.7500 0.1250
0.7500 0.1263 0.3750
0.7500 0.3737 0.8750
0.8737 0.7500 0.6250
```

Calculated values
E_form (uncorrected) ... -136 meV/atom
Total energy ... -68.22 eV/cell
ΔE to the lowest computed polymorph ... 0.286 eV per atom

---

(7)
VASP calculation (PBE) on LaCoNi3 after structural relaxation.

Cell and atoms, written as POSCAR:
```
LaCoNi3
1.0
5.8669 0.0000 0.0000
-2.9334 5.0808 0.0000
0.0000 0.0000 5.2944
La Co Ni
2 2 6
Direct
0.3333 0.6667 0.2496
0.6667 0.3333 0.7504
0.0000 0.0000 0.0000
0.0000 0.0000 0.5000
0.1956 0.3911 0.7492
0.1956 0.8044 0.7492
0.3911 0.1956 0.2508
0.6089 0.8044 0.7492
0.8044 0.1956 0.2508
0.8044 0.6089 0.2508
```

Calculated values
Total energy ... -59.22 eV/cell
ΔE to the lowest computed polymorph ... 0.000 eV per atom
Formation enthalpy at 0 K ... -0.23 eV per formula unit

---

(8)
VASP calculation (PBE) on Pm4NdPb4 after structural relaxation.

Cell and atoms, written as POSCAR:
```
Pm4NdPb4
1.0
-5.0197 5.0197 3.1940
5.0197 -5.0197 3.1940
5.0197 5.0197 -3.1940
Pm Nd Pb
4 1 4
Direct
0.0994 0.2942 0.3936
0.2942 0.9006 0.1948
0.7058 0.0994 0.8052
0.9006 0.7058 0.6064
0.5000 0.5000 0.0000
0.1996 0.5974 0.7969
0.4026 0.1996 0.6022
0.5974 0.8004 0.3978
0.8004 0.4026 0.2031
```

Calculated values
Total energy ... -41.40 eV/cell
Formation enthalpy at 0 K ... -2.79 eV per formula unit